DFT (PBE) results for a relaxed structure of Ca3Dy2PuTe6.

Geometry as POSCAR:
```
Ca3Dy2PuTe6
1.0
3.829 -6.636 0.000
3.829 6.636 0.000
-2.554 0.000 7.327
Ca Dy Pu Te
3 2 1 6
direct
0.000 0.000 0.000 Ca
0.335 0.665 0.000 Ca
0.665 0.335 0.000 Ca
0.167 0.833 0.500 Dy
0.833 0.167 0.500 Dy
0.500 0.500 0.500 Pu
0.079 0.417 0.253 Te
0.243 0.243 0.745 Te
0.417 0.079 0.253 Te
0.583 0.921 0.747 Te
0.757 0.757 0.255 Te
0.921 0.583 0.747 Te
```

Summary:
The value obtained for the total magnetic moment is 6.29 μB/cell. As for the crystal system: monoclinic. Its space group is C2/m, No. 12. The value obtained for the total energy is -5.446 eV/atom. The calculation puts the volume at 372 Å³/cell.


DFT (PBE) results for a relaxed structure of TbU2Ru2.

Geometry as POSCAR:
```
TbU2Ru2
1.0
7.681 -2.371 0.000
7.681 2.371 0.000
-1.778 0.000 5.659
Tb U Ru
2 4 4
direct
0.215 0.785 0.750 Tb
0.785 0.215 0.250 Tb
0.077 0.334 0.650 U
0.334 0.077 0.150 U
0.666 0.923 0.850 U
0.923 0.666 0.350 U
0.190 0.574 0.083 Ru
0.426 0.810 0.417 Ru
0.574 0.190 0.583 Ru
0.810 0.426 0.917 Ru
```

Summary:
The value obtained for the total magnetic moment is 0.00 μB/cell. For the energy of formation from the pure elements, the calculation gives -197 meV per atom. As for the crystal system: monoclinic. Its space group is C2/c, No. 15. The calculation puts the volume at 206 Å³/cell.


DFT (PBE) results for a relaxed structure of Ca2GaN.

Geometry as POSCAR:
```
Ca2GaN
1.0
6.240 0.000 0.000
0.000 3.596 0.000
-1.581 0.000 7.931
Ca Ga N
4 2 2
direct
0.120 0.250 0.158 Ca
0.375 0.250 0.842 Ca
0.625 0.750 0.158 Ca
0.880 0.750 0.842 Ca
0.159 0.750 0.509 Ga
0.841 0.250 0.491 Ga
0.252 0.750 0.006 N
0.748 0.250 0.994 N
```

Summary:
The value obtained for the total magnetic moment is 0.00 μB/cell. As for the crystal system: monoclinic. Its space group is P2_1/m, No. 11. The value obtained for the total energy is -4.460 eV/atom. The calculation puts the volume at 178 Å³/cell.


DFT (PBE) results for a relaxed structure of ScBe2.

Geometry as POSCAR:
```
ScBe2
1.0
4.254 0.000 0.000
-2.127 3.684 0.000
0.000 0.000 5.159
Sc Be
2 4
direct
0.333 0.667 0.250 Sc
0.667 0.333 0.750 Sc
0.000 0.000 0.000 Be
0.000 0.000 0.500 Be
0.333 0.667 0.750 Be
0.667 0.333 0.250 Be
```

Summary:
The value obtained for the total magnetic moment is 0.00 μB/cell. For the energy of formation from the pure elements, the calculation gives 117 meV per atom. As for the crystal system: hexagonal. Its space group is P6_3/mmc, No. 194. The calculation puts the volume at 81 Å³/cell.


DFT (PBE) results for a relaxed structure of LaPmLuAg.

Geometry as POSCAR:
```
LaPmLuAg
1.0
0.000 3.848 3.848
3.848 0.000 3.848
3.848 3.848 0.000
La Pm Lu Ag
1 1 1 1
direct
0.000 0.000 0.000 La
0.250 0.250 0.250 Pm
0.500 0.500 0.500 Lu
0.750 0.750 0.750 Ag
```

Summary:
The value obtained for the total magnetic moment is 2.23 μB/cell. For the energy of formation from the pure elements, the calculation gives 102 meV per atom. As for the crystal system: cubic. Its space group is F-43m, No. 216. The calculation puts the volume at 114 Å³/cell.


DFT (PBE) results for a relaxed structure of HfTaCuTe2.

Geometry as POSCAR:
```
HfTaCuTe2
1.0
5.448 0.000 0.000
0.000 5.448 0.000
0.000 0.000 4.796
Hf Ta Cu Te
1 1 1 2
direct
0.000 0.000 0.000 Hf
0.500 0.500 0.500 Ta
0.000 0.000 0.500 Cu
0.000 0.500 0.000 Te
0.500 0.000 0.000 Te
```

Summary:
The value obtained for the total magnetic moment is 3.34 μB/cell. As for the crystal system: tetragonal. Its space group is P4/mmm, No. 123. The value obtained for the total energy is -5.340 eV/atom. The calculation puts the volume at 142 Å³/cell.


DFT (PBE) results for a relaxed structure of Li3Tl2SnCl8.

Geometry as POSCAR:
```
Li3Tl2SnCl8
1.0
3.945 2.277 7.622
-3.945 2.277 7.622
0.000 -4.555 7.622
Li Tl Sn Cl
3 2 1 8
direct
0.181 0.181 0.638 Li
0.181 0.638 0.181 Li
0.638 0.181 0.181 Li
0.157 0.157 0.157 Tl
0.751 0.751 0.751 Tl
0.540 0.540 0.540 Sn
0.331 0.905 0.905 Cl
0.384 0.384 0.384 Cl
0.429 0.429 0.927 Cl
0.429 0.927 0.429 Cl
0.866 0.866 0.866 Cl
0.905 0.331 0.905 Cl
0.905 0.905 0.331 Cl
0.927 0.429 0.429 Cl
```

Summary:
The value obtained for the total magnetic moment is 0.00 μB/cell. As for the crystal system: trigonal. Its space group is R3m, No. 160. The value obtained for the total energy is -3.308 eV/atom. The calculation puts the volume at 411 Å³/cell.


DFT (PBE) results for a relaxed structure of Ag2AuSe.

Geometry as POSCAR:
```
Ag2AuSe
1.0
2.022 -2.029 0.000
2.022 2.029 0.000
0.000 0.000 9.379
Ag Au Se
2 1 1
direct
0.000 0.000 0.000 Ag
0.500 0.500 0.230 Ag
0.000 0.000 0.460 Au
0.500 0.500 0.753 Se
```

Summary:
The value obtained for the total magnetic moment is 0.00 μB/cell. As for the crystal system: orthorhombic. Its space group is Cmm2, No. 35. The value obtained for the total energy is -2.997 eV/atom. The calculation puts the volume at 77 Å³/cell.


DFT (PBE) results for a relaxed structure of Mn2P.

Geometry as POSCAR:
```
Mn2P
1.0
1.760 -6.189 0.000
1.760 6.189 0.000
0.000 0.000 3.426
Mn P
4 2
direct
0.080 0.920 0.750 Mn
0.249 0.751 0.250 Mn
0.751 0.249 0.750 Mn
0.920 0.080 0.250 Mn
0.379 0.621 0.750 P
0.621 0.379 0.250 P
```

Summary:
The value obtained for the total magnetic moment is 9.47 μB/cell. For the energy of formation from the pure elements, the calculation gives -230 meV per atom. As for the crystal system: orthorhombic. Its space group is Cmcm, No. 63. The calculation puts the volume at 75 Å³/cell.


DFT (PBE) results for a relaxed structure of Ta2InRe.

Geometry as POSCAR:
```
Ta2InRe
1.0
3.430 0.000 0.000
0.000 3.430 0.000
0.000 0.000 6.154
Ta In Re
2 1 1
direct
0.000 0.000 0.000 Ta
0.500 0.500 0.235 Ta
0.000 0.000 0.511 In
0.500 0.500 0.778 Re
```

Summary:
The value obtained for the total magnetic moment is 0.00 μB/cell. For the energy of formation from the pure elements, the calculation gives 140 meV per atom. As for the crystal system: tetragonal. Its space group is P4mm, No. 99. The calculation puts the volume at 72 Å³/cell.


DFT (PBE) results for a relaxed structure of RbBe2BOs.

Geometry as POSCAR:
```
RbBe2BOs
1.0
3.879 0.000 0.000
0.000 3.879 0.000
0.000 0.000 5.352
Rb Be B Os
1 2 1 1
direct
0.000 0.000 0.000 Rb
0.000 0.500 0.500 Be
0.500 0.000 0.500 Be
0.000 0.000 0.500 B
0.500 0.500 0.000 Os
```

Summary:
The value obtained for the total magnetic moment is 1.45 μB/cell. For the energy of formation from the pure elements, the calculation gives 1908 meV per atom. As for the crystal system: tetragonal. Its space group is P4/mmm, No. 123. The calculation puts the volume at 81 Å³/cell.


DFT (PBE) results for a relaxed structure of ScSi2Rh.

Geometry as POSCAR:
```
ScSi2Rh
1.0
1.508 0.871 8.114
-1.508 0.871 8.114
0.000 -1.741 8.114
Sc Si Rh
1 2 1
direct
0.000 0.000 0.000 Sc
0.241 0.241 0.241 Si
0.759 0.759 0.759 Si
0.500 0.500 0.500 Rh
```

Summary:
The value obtained for the total magnetic moment is 0.00 μB/cell. As for the crystal system: trigonal. Its space group is R-3m, No. 166. The value obtained for the total energy is -6.503 eV/atom. The calculation puts the volume at 64 Å³/cell.


DFT (PBE) results for a relaxed structure of ZrSeNF2.

Geometry as POSCAR:
```
ZrSeNF2
1.0
4.661 0.000 0.000
0.000 4.661 0.000
0.000 0.000 3.639
Zr Se N F
1 1 1 2
direct
0.000 0.000 0.000 Zr
0.500 0.500 0.500 Se
0.500 0.500 0.000 N
0.000 0.500 0.500 F
0.500 0.000 0.500 F
```

Summary:
The value obtained for the total magnetic moment is 1.16 μB/cell. As for the excess energy over the best structure of this formula in the dataset: 1389 meV per atom. As for the crystal system: tetragonal. Its space group is P4/mmm, No. 123. The calculation puts the volume at 79 Å³/cell.


DFT (PBE) results for a relaxed structure of Ba4Pd2Au5.

Geometry as POSCAR:
```
Ba4Pd2Au5
1.0
7.865 0.000 0.000
0.000 4.380 0.000
-0.534 0.000 9.493
Ba Pd Au
4 2 5
direct
0.218 0.000 0.142 Ba
0.255 0.000 0.620 Ba
0.745 0.000 0.380 Ba
0.782 0.000 0.858 Ba
0.054 0.500 0.367 Pd
0.946 0.500 0.633 Pd
0.151 0.500 0.878 Au
0.407 0.500 0.368 Au
0.500 0.500 0.000 Au
0.593 0.500 0.632 Au
0.849 0.500 0.122 Au
```

Summary:
The value obtained for the total magnetic moment is 0.00 μB/cell. For the energy of formation from the pure elements, the calculation gives -646 meV per atom. As for the crystal system: monoclinic. Its space group is P2/m, No. 10. The calculation puts the volume at 327 Å³/cell.


DFT (PBE) results for a relaxed structure of BaNa3Sr12.

Geometry as POSCAR:
```
BaNa3Sr12
1.0
5.911 0.000 0.000
0.000 5.911 0.000
0.000 0.000 24.015
Ba Na Sr
1 3 12
direct
0.000 0.000 0.000 Ba
0.000 0.000 0.255 Na
0.000 0.000 0.500 Na
0.000 0.000 0.745 Na
0.000 0.500 0.132 Sr
0.000 0.500 0.378 Sr
0.000 0.500 0.622 Sr
0.000 0.500 0.868 Sr
0.500 0.000 0.132 Sr
0.500 0.000 0.378 Sr
0.500 0.000 0.622 Sr
0.500 0.000 0.868 Sr
0.500 0.500 0.000 Sr
0.500 0.500 0.257 Sr
0.500 0.500 0.500 Sr
0.500 0.500 0.743 Sr
```

Summary:
The value obtained for the total magnetic moment is 0.00 μB/cell. For the energy of formation from the pure elements, the calculation gives 32 meV per atom. As for the crystal system: tetragonal. Its space group is P4/mmm, No. 123. The calculation puts the volume at 839 Å³/cell.


DFT (PBE) results for a relaxed structure of K2TeRu.

Geometry as POSCAR:
```
K2TeRu
1.0
4.972 0.000 0.000
0.000 5.201 0.000
-1.179 0.000 7.489
K Te Ru
2 1 1
direct
0.174 0.000 0.240 K
0.826 0.000 0.760 K
0.500 0.500 0.000 Te
0.000 0.500 0.000 Ru
```

Summary:
The value obtained for the total magnetic moment is 0.40 μB/cell. As for the crystal system: monoclinic. Its space group is P2/m, No. 10. The value obtained for the total energy is -3.424 eV/atom. The calculation puts the volume at 194 Å³/cell.


DFT (PBE) results for a relaxed structure of Rb2YUSe6.

Geometry as POSCAR:
```
Rb2YUSe6
1.0
0.000 5.493 5.493
5.493 0.000 5.493
5.493 5.493 0.000
Rb Y U Se
2 1 1 6
direct
0.250 0.250 0.250 Rb
0.750 0.750 0.750 Rb
0.000 0.000 0.000 Y
0.500 0.500 0.500 U
0.257 0.257 0.743 Se
0.257 0.743 0.257 Se
0.257 0.743 0.743 Se
0.743 0.257 0.257 Se
0.743 0.257 0.743 Se
0.743 0.743 0.257 Se
```

Summary:
The value obtained for the total magnetic moment is 0.00 μB/cell. As for the crystal system: cubic. Its space group is Fm-3m, No. 225. The value obtained for the total energy is -5.291 eV/atom. The calculation puts the volume at 331 Å³/cell.


DFT (PBE) results for a relaxed structure of CePa2Rh5.

Geometry as POSCAR:
```
CePa2Rh5
1.0
7.372 0.000 0.000
0.000 10.575 0.000
0.000 0.000 4.012
Ce Pa Rh
2 4 10
direct
0.000 0.000 0.000 Ce
0.500 0.500 0.000 Ce
0.117 0.326 0.500 Pa
0.383 0.826 0.500 Pa
0.617 0.174 0.500 Pa
0.883 0.674 0.500 Pa
0.000 0.500 0.000 Rh
0.155 0.745 0.000 Rh
0.250 0.074 0.500 Rh
0.250 0.574 0.500 Rh
0.345 0.245 0.000 Rh
0.500 0.000 0.000 Rh
0.655 0.755 0.000 Rh
0.750 0.426 0.500 Rh
0.750 0.926 0.500 Rh
0.845 0.255 0.000 Rh
```

Summary:
The value obtained for the total magnetic moment is 0.00 μB/cell. For the energy of formation from the pure elements, the calculation gives -775 meV per atom. As for the crystal system: orthorhombic. Its space group is Pbam, No. 55. The calculation puts the volume at 313 Å³/cell.


DFT (PBE) results for a relaxed structure of TlSi3.

Geometry as POSCAR:
```
TlSi3
1.0
-1.808 2.778 4.073
1.808 -2.778 4.073
1.808 2.778 -4.073
Tl Si
1 3
direct
0.000 0.000 0.000 Tl
0.298 0.798 0.500 Si
0.500 0.500 0.000 Si
0.702 0.202 0.500 Si
```

Summary:
The value obtained for the total magnetic moment is 0.00 μB/cell. As for the excess energy over the best structure of this formula in the dataset: 260 meV per atom. As for the crystal system: orthorhombic. Its space group is Immm, No. 71. The calculation puts the volume at 82 Å³/cell.


DFT (PBE) results for a relaxed structure of KFe3Cl.

Geometry as POSCAR:
```
KFe3Cl
1.0
5.001 0.000 0.000
0.000 5.001 0.000
0.000 0.000 5.001
K Fe Cl
1 3 1
direct
0.000 0.000 0.000 K
0.000 0.000 0.500 Fe
0.000 0.500 0.000 Fe
0.500 0.000 0.000 Fe
0.500 0.500 0.500 Cl
```

Summary:
The value obtained for the total magnetic moment is 8.68 μB/cell. As for the excess energy over the best structure of this formula in the dataset: 1328 meV per atom. As for the crystal system: cubic. Its space group is Pm-3m, No. 221. The calculation puts the volume at 125 Å³/cell.